Entry 1:
The following is a PBE calculation of LiNd2Pt2 after structural relaxation, from the Alexandria database.

Computed properties:
For the formation energy, the calculation gives -904 meV per atom. For the size of the total moment, the calculation gives 0.00 μB per atom.

Lattice parameters (Å, degrees): 4.379 5.811 8.713 90.00 90.00 90.00
Space group Immm (No. 71)
Inequivalent atoms, fractional coordinates:
Li: 0.000 0.000 0.000 (multiplicity 2)
Nd: 0.000 0.500 0.199 (multiplicity 4)
Pt: 0.000 0.243 0.500 (multiplicity 4)

***

Entry 2:
The following is a PBE calculation of Li4NdPt after structural relaxation, from the Alexandria database.

Computed properties:
For the formation energy, the calculation gives -208 meV per atom. For the size of the total moment, the calculation gives 0.00 μB per atom.

Lattice parameters (Å, degrees): 7.447 7.447 7.447 90.00 90.00 90.00
Space group F-43m (No. 216)
Inequivalent atoms, fractional coordinates:
Li: 0.122 0.122 0.378 (multiplicity 16)
Nd: 0.000 0.000 0.000 (multiplicity 4)
Pt: 0.250 0.250 0.750 (multiplicity 4)

***

Entry 3:
The following is a PBE calculation of LiNd2Pt after structural relaxation, from the Alexandria database.

Computed properties:
For the formation energy, the calculation gives -525 meV per atom. For the size of the total moment, the calculation gives 0.00 μB per atom.

Lattice parameters (Å, degrees): 5.055 5.055 3.780 90.00 90.00 90.00
Space group P4/mmm (No. 123)
Inequivalent atoms, fractional coordinates:
Li: 0.000 0.000 0.000 (multiplicity 1)
Nd: 0.000 0.500 0.500 (multiplicity 2)
Pt: 0.500 0.500 0.000 (multiplicity 1)

***

Entry 4:
The following is a PBE calculation of LiNd2Pt2 after structural relaxation, from the Alexandria database.

Computed properties:
For the formation energy, the calculation gives -852 meV per atom. For the size of the total moment, the calculation gives 0.00 μB per atom.

Lattice parameters (Å, degrees): 7.250 11.451 5.849 90.00 90.00 90.00
Space group Ibam (No. 72)
Inequivalent atoms, fractional coordinates:
Li: 0.000 0.000 0.250 (multiplicity 4)
Nd: 0.163 0.358 0.000 (multiplicity 8)
Pt: 0.243 0.389 0.500 (multiplicity 8)

***

Entry 5:
The following is a PBE calculation of LiNd2Pt3 after structural relaxation, from the Alexandria database.

Computed properties:
For the formation energy, the calculation gives -896 meV per atom. For the size of the total moment, the calculation gives 0.00 μB per atom.

Lattice parameters (Å, degrees): 7.615 8.642 15.652 90.00 90.00 90.00
Space group Fmmm (No. 69)
Inequivalent atoms, fractional coordinates:
Li: 0.000 0.000 0.165 (multiplicity 8)
Nd: 0.248 0.000 0.500 (multiplicity 8)
Nd: 0.250 0.250 0.250 (multiplicity 8)
Pt: 0.000 0.000 0.323 (multiplicity 8)
Pt: 0.000 0.242 0.085 (multiplicity 16)

***

Entry 6:
The following is a PBE calculation of LiNd2Pt after structural relaxation, from the Alexandria database.

Computed properties:
For the formation energy, the calculation gives -444 meV per atom. For the size of the total moment, the calculation gives 0.00 μB per atom.

Lattice parameters (Å, degrees): 4.2787 4.2787 23.5015 90.00 90.00 120.00
Space group R3m (No. 160, hexagonal axes)
Inequivalent atoms, fractional coordinates:
Li: 0.0000 0.0000 0.0000 (multiplicity 3)
Nd: 0.0000 0.0000 0.5608 (multiplicity 3)
Nd: 0.0000 0.0000 0.7659 (multiplicity 3)
Pt: 0.0000 0.0000 0.1623 (multiplicity 3)

***

Entry 7:
The following is a PBE calculation of LiNdPt2 after structural relaxation, from the Alexandria database.

Computed properties:
For the formation energy, the calculation gives -819 meV per atom. For the size of the total moment, the calculation gives 0.00 μB per atom.

Lattice parameters (Å, degrees): 3.584 3.584 5.944 90.00 90.00 90.00
Space group P4/mmm (No. 123)
Inequivalent atoms, fractional coordinates:
Li: 0.000 0.000 0.000 (multiplicity 1)
Nd: 0.000 0.000 0.500 (multiplicity 1)
Pt: 0.500 0.500 0.227 (multiplicity 2)

***

Entry 8:
The following is a PBE calculation of Li4NdPt2 after structural relaxation, from the Alexandria database.

Computed properties:
For the formation energy, the calculation gives -592 meV per atom. For the size of the total moment, the calculation gives 0.00 μB per atom.

Lattice parameters (Å, degrees): 7.698 7.698 4.166 90.00 90.00 90.00
Space group P4_2/mnm (No. 136)
Inequivalent atoms, fractional coordinates:
Li: 0.097 0.346 0.000 (multiplicity 8)
Nd: 0.000 0.000 0.500 (multiplicity 2)
Pt: 0.208 0.792 0.000 (multiplicity 4)

***

Entry 9:
The following is a PBE calculation of Li2NdPt4 after structural relaxation, from the Alexandria database.

Computed properties:
For the formation energy, the calculation gives -640 meV per atom. For the size of the total moment, the calculation gives 0.00 μB per atom.

Lattice parameters (Å, degrees): 6.932 6.932 5.078 90.00 90.00 90.00
Space group I4/mmm (No. 139)
Inequivalent atoms, fractional coordinates:
Li: 0.000 0.500 0.250 (multiplicity 4)
Nd: 0.000 0.000 0.000 (multiplicity 2)
Pt: 0.199 0.199 0.500 (multiplicity 8)

***

Entry 10:
The following is a PBE calculation of LiNdPt2 after structural relaxation, from the Alexandria database.

Computed properties:
For the formation energy, the calculation gives -801 meV per atom. For the size of the total moment, the calculation gives 0.00 μB per atom.

Lattice parameters (Å, degrees): 4.310 4.310 4.031 90.00 90.00 90.00
Space group P4/mmm (No. 123)
Inequivalent atoms, fractional coordinates:
Li: 0.000 0.000 0.000 (multiplicity 1)
Nd: 0.500 0.500 0.000 (multiplicity 1)
Pt: 0.000 0.500 0.500 (multiplicity 2)

***

Entry 11:
The following is a PBE calculation of LiNd2Pt after structural relaxation, from the Alexandria database.

Computed properties:
For the formation energy, the calculation gives -475 meV per atom. For the size of the total moment, the calculation gives 0.12 μB per atom.

Lattice parameters (Å, degrees): 7.402 4.283 7.153 90.00 110.19 90.00
Space group Cm (No. 8)
Inequivalent atoms, fractional coordinates:
Li: 0.000 0.000 0.000 (multiplicity 2)
Nd: 0.239 0.000 0.718 (multiplicity 2)
Nd: 0.425 0.000 0.274 (multiplicity 2)
Pt: 0.162 0.500 0.987 (multiplicity 2)

***

Entry 12:
The following is a PBE calculation of Li6NdPt6 after structural relaxation, from the Alexandria database.

Computed properties:
For the formation energy, the calculation gives -670 meV per atom. For the size of the total moment, the calculation gives 0.00 μB per atom.

Lattice parameters (Å, degrees): 5.372 8.507 9.213 90.00 90.00 90.00
Space group Immm (No. 71)
Inequivalent atoms, fractional coordinates:
Li: 0.000 0.000 0.144 (multiplicity 4)
Li: 0.000 0.342 0.500 (multiplicity 4)
Li: 0.000 0.500 0.205 (multiplicity 4)
Nd: 0.000 0.000 0.500 (multiplicity 2)
Pt: 0.000 0.281 0.000 (multiplicity 4)
Pt: 0.250 0.250 0.250 (multiplicity 8)

***

Entry 13:
The following is a PBE calculation of Li3NdPt3 after structural relaxation, from the Alexandria database.

Computed properties:
For the formation energy, the calculation gives -78 meV per atom. For the size of the total moment, the calculation gives 0.00 μB per atom.

Lattice parameters (Å, degrees): 6.416 6.416 6.416 90.00 90.00 90.00
Space group Pm-3n (No. 223)
Inequivalent atoms, fractional coordinates:
Li: 0.000 0.250 0.500 (multiplicity 6)
Nd: 0.000 0.000 0.000 (multiplicity 2)
Pt: 0.000 0.500 0.250 (multiplicity 6)

***

Entry 14:
The following is a PBE calculation of Li2NdPt2 after structural relaxation, from the Alexandria database.

Computed properties:
For the formation energy, the calculation gives -744 meV per atom. For the size of the total moment, the calculation gives 0.00 μB per atom.

Lattice parameters (Å, degrees): 3.858 3.858 12.786 90.00 90.00 90.00
Space group I4/mmm (No. 139)
Inequivalent atoms, fractional coordinates:
Li: 0.000 0.500 0.250 (multiplicity 4)
Nd: 0.000 0.000 0.000 (multiplicity 2)
Pt: 0.000 0.000 0.392 (multiplicity 4)

***

Entry 15:
The following is a PBE calculation of Li5Nd4Pt6 after structural relaxation, from the Alexandria database.

Computed properties:
For the formation energy, the calculation gives -740 meV per atom. For the size of the total moment, the calculation gives 0.00 μB per atom.

Lattice parameters (Å, degrees): 4.117 20.118 15.138 90.00 90.00 90.00
Space group Cmc2_1 (No. 36)
Inequivalent atoms, fractional coordinates:
Li: 0.000 0.066 0.000 (multiplicity 4)
Li: 0.000 0.144 0.321 (multiplicity 4)
Li: 0.000 0.162 0.587 (multiplicity 4)
Li: 0.000 0.198 0.943 (multiplicity 4)
Li: 0.000 0.346 0.956 (multiplicity 4)
Nd: 0.000 0.314 0.266 (multiplicity 4)
Nd: 0.000 0.336 0.633 (multiplicity 4)
Nd: 0.000 0.470 0.099 (multiplicity 4)
Nd: 0.000 0.494 0.839 (multiplicity 4)
Pt: 0.000 0.058 0.187 (multiplicity 4)
Pt: 0.000 0.065 0.461 (multiplicity 4)
Pt: 0.000 0.079 0.735 (multiplicity 4)
Pt: 0.000 0.264 0.088 (multiplicity 4)
Pt: 0.000 0.283 0.811 (multiplicity 4)
Pt: 0.000 0.383 0.442 (multiplicity 4)

***

Entry 16:
The following is a PBE calculation of Li3Nd12Pt5 after structural relaxation, from the Alexandria database.

Computed properties:
For the formation energy, the calculation gives -180 meV per atom. For the size of the total moment, the calculation gives 0.00 μB per atom.

Lattice parameters (Å, degrees): 17.759 17.759 17.759 90.00 90.00 90.00
Space group Ia-3d (No. 230)
Inequivalent atoms, fractional coordinates:
Li: 0.000 0.250 0.125 (multiplicity 24)
Nd: 0.027 0.062 0.647 (multiplicity 96)
Pt: 0.000 0.000 0.000 (multiplicity 16)
Pt: 0.000 0.250 0.375 (multiplicity 24)

***

Entry 17:
The following is a PBE calculation of Li7Nd3Pt4 after structural relaxation, from the Alexandria database.

Computed properties:
For the formation energy, the calculation gives -611 meV per atom. For the size of the total moment, the calculation gives 0.00 μB per atom.

Lattice parameters (Å, degrees): 15.904 4.179 10.126 90.00 125.98 90.00
Space group C2/m (No. 12)
Inequivalent atoms, fractional coordinates:
Li: 0.000 0.000 0.000 (multiplicity 2)
Li: 0.017 0.500 0.802 (multiplicity 4)
Li: 0.168 0.000 0.930 (multiplicity 4)
Li: 0.171 0.500 0.502 (multiplicity 4)
Nd: 0.000 0.000 0.500 (multiplicity 2)
Nd: 0.206 0.500 0.238 (multiplicity 4)
Pt: 0.108 0.000 0.320 (multiplicity 4)
Pt: 0.158 0.500 0.749 (multiplicity 4)

***

Entry 18:
The following is a PBE calculation of LiNdPt2 after structural relaxation, from the Alexandria database.

Computed properties:
For the formation energy, the calculation gives -874 meV per atom. For the size of the total moment, the calculation gives 0.00 μB per atom.

Lattice parameters (Å, degrees): 8.040 4.374 8.790 90.00 90.00 90.00
Space group Pnma (No. 62)
Inequivalent atoms, fractional coordinates:
Li: 0.072 0.250 0.045 (multiplicity 4)
Nd: 0.096 0.750 0.335 (multiplicity 4)
Pt: 0.156 0.750 0.724 (multiplicity 4)
Pt: 0.248 0.250 0.521 (multiplicity 4)

***

Entry 19:
The following is a PBE calculation of Li2NdPuPt2 after structural relaxation, from the Alexandria database.

Computed properties:
For the formation energy, the calculation gives -625 meV per atom. For the size of the total moment, the calculation gives 0.95 μB per atom.

Lattice parameters (Å, degrees): 4.4389 4.4389 7.0677 90.00 90.00 120.00
Space group P-3m1 (No. 164)
Inequivalent atoms, fractional coordinates:
Li: 0.3333 0.6667 0.2663 (multiplicity 2)
Nd: 0.0000 0.0000 0.0000 (multiplicity 1)
Pu: 0.0000 0.0000 0.5000 (multiplicity 1)
Pt: 0.3333 0.6667 0.7287 (multiplicity 2)

***

Entry 20:
The following is a PBE calculation of LiNdSc2Pt4 after structural relaxation, from the Alexandria database.

Computed properties:
For the formation energy, the calculation gives -1053 meV per atom. For the size of the total moment, the calculation gives 0.00 μB per atom.

Lattice parameters (Å, degrees): 4.5410 4.5410 25.5194 90.00 90.00 120.00
Space group R-3m (No. 166, hexagonal axes)
Inequivalent atoms, fractional coordinates:
Li: 0.0000 0.0000 0.0000 (multiplicity 3)
Nd: 0.0000 0.0000 0.5000 (multiplicity 3)
Sc: 0.0000 0.0000 0.2651 (multiplicity 6)
Pt: 0.0000 0.0000 0.1021 (multiplicity 6)
Pt: 0.0000 0.0000 0.3721 (multiplicity 6)